## NiAs3N (PBE)

Data for a relaxed NiAs3N crystal.

Output
- Offset from the most stable computed form: 607 meV/atom
- Formation energy (no corrections): 680 kJ/mol of formula units
- Uncorrected energy: -4.2008 eV/atom
- Volume: 92.0 Å³ per cell

a b c (Å): 4.5151 4.5151 4.5151
angles (deg): 90.00 90.00 90.00
Closest atoms and distances in Å follow each position.
Space group Pm-3m (No. 221)
Asymmetric unit:
Ni: 0.0000 0.0000 0.0000 (multiplicity 1)  6 As 2.26
As: 0.0000 0.0000 0.5000 (multiplicity 3)  2 Ni 2.26
N: 0.5000 0.5000 0.5000 (multiplicity 1)  12 As 3.19